A plane-wave DFT calculation with PBE was carried out for an optimized crystal structure of La4Sn2As.

E_form in eV per formula unit: -4.8
V in Å³ per cell: 260.5
Uncorrected energy in eV/atom: -5.30
M_tot in μB/atom: 0.00
D(E_F) in states/eV per cell: 5.438

Unit cell a=9.311 b=9.311 c=9.311 alpha=145.29 beta=145.29 gamma=49.90
Positions (direct):
La1 0.000 0.500 0.500
La2 0.176 0.176 0.000
La3 0.500 0.000 0.500
La4 0.824 0.824 0.000
Sn1 0.369 0.369 0.000
Sn2 0.631 0.631 0.000
As1 0.000 0.000 0.000

***

A plane-wave DFT calculation with PBE was carried out for an optimized crystal structure of BeNi2As.

E_form in eV per formula unit: -0.5
V in Å³ per cell: 45.8
Uncorrected energy in eV/atom: -5.10
Excess energy over the best structure of this formula in the dataset in eV per formula unit: 0.283
M_tot in μB/atom: 0.00
D(E_F) in states/eV per cell: 2.338

Unit cell a=4.038 b=4.038 c=4.361 alpha=99.84 beta=99.84 gamma=40.90
Positions (direct):
Be1 0.000 0.000 0.000
Ni1 0.254 0.254 0.763
Ni2 0.746 0.746 0.237
As1 0.500 0.500 0.500

***

A plane-wave DFT calculation with PBE was carried out for an optimized crystal structure of PPdO4.

V in Å³ per cell: 152.3
Uncorrected energy in eV/atom: -5.98
M_tot in μB/atom: 0.13
D(E_F) in states/eV per cell: 6.940
Energy relative to the elements, uncorrected in eV per atom: -0.907

Unit cell a=6.792 b=6.792 c=6.664 alpha=110.32 beta=110.32 gamma=32.09
Positions (direct):
P1 0.079 0.079 0.179
P2 0.921 0.921 0.821
Pd1 0.238 0.238 0.660
Pd2 0.762 0.762 0.340
O1 0.057 0.057 0.911
O2 0.089 0.089 0.427
O3 0.224 0.224 0.231
O4 0.398 0.398 0.818
O5 0.602 0.602 0.182
O6 0.776 0.776 0.769
O7 0.911 0.911 0.573
O8 0.943 0.943 0.089

***

A plane-wave DFT calculation with PBE was carried out for an optimized crystal structure of Np2PaSe4.

V in Å³ per cell: 368.6
Uncorrected energy in eV/atom: -8.18
Excess energy over the best structure of this formula in the dataset in eV per formula unit: 0.481
M_tot in μB/atom: 1.49
D(E_F) in states/eV per cell: 41.518
Energy relative to the elements, uncorrected in eV per atom: -1.136

Unit cell a=7.045 b=7.045 c=13.611 alpha=90.00 beta=90.00 gamma=146.93
Positions (direct):
Np1 0.135 0.865 0.565
Np2 0.135 0.865 0.935
Np3 0.865 0.135 0.065
Np4 0.865 0.135 0.435
Pa1 0.379 0.621 0.750
Pa2 0.621 0.379 0.250
Se1 0.033 0.967 0.750
Se2 0.225 0.775 0.128
Se3 0.225 0.775 0.372
Se4 0.500 0.500 0.000
Se5 0.500 0.500 0.500
Se6 0.775 0.225 0.628
Se7 0.775 0.225 0.872
Se8 0.967 0.033 0.250

***

A plane-wave DFT calculation with PBE was carried out for an optimized crystal structure of BaLaMoN3.

V in Å³ per cell: 211.2
Uncorrected energy in eV/atom: -7.92
M_tot in μB/atom: 0.00
D(E_F) in states/eV per cell: 2.365
Energy relative to the elements, uncorrected in eV per atom: -0.815

Unit cell a=7.272 b=7.272 c=7.704 alpha=105.15 beta=105.15 gamma=32.60
Positions (direct):
Ba1 0.139 0.139 0.072
Ba2 0.861 0.861 0.928
La1 0.154 0.154 0.575
La2 0.846 0.846 0.425
Mo1 0.500 0.500 0.299
Mo2 0.500 0.500 0.701
N1 0.005 0.005 0.296
N2 0.346 0.346 0.646
N3 0.357 0.357 0.201
N4 0.643 0.643 0.799
N5 0.654 0.654 0.354
N6 0.995 0.995 0.704

***

A plane-wave DFT calculation with PBE was carried out for an optimized crystal structure of OsPtSe2.

V in Å³ per cell: 76.2
Uncorrected energy in eV/atom: -5.77
Excess energy over the best structure of this formula in the dataset in eV per formula unit: 0.512
M_tot in μB/atom: 0.00
D(E_F) in states/eV per cell: 2.343
Energy relative to the elements, uncorrected in eV per atom: 0.293

Unit cell a=3.197 b=3.711 c=6.426 alpha=90.00 beta=90.00 gamma=90.00
Positions (direct):
Os1 0.000 0.000 0.000
Pt1 0.500 0.500 0.247
Se1 0.000 0.000 0.385
Se2 0.500 0.500 0.847